Below is an optimized crystal structure of NaFeCuP, with properties calculated at the PBE level.

The calculation puts the total DFT energy (no corrections) at -40.0 eV per cell. The formation energy is -70 kJ/mol of formula units.

The space group is P4/nmm (No. 129, origin choice 2) and the conventional cell measures 3.586, 3.586 and 10.728 Å, with angles of 90.00, 90.00 and 90.00 degrees. Symmetry generates all atoms from Na at (0.250, 0.250, 0.236), Fe at (0.250, 0.750, 0.500), Cu at (0.250, 0.750, 0.000) and P at (0.250, 0.250, 0.618).